# 1
Crystalline Tm4ThAs5 at its relaxed geometry. Source: Alexandria, functional PBE-GGA.

POSCAR file:
```
Tm4ThAs5
1.0
-2.055 2.911 10.249
2.055 -2.911 10.249
2.055 2.911 -10.249
Tm Th As
4 1 5
direct
0.102 0.102 0.000 Tm
0.297 0.297 0.000 Tm
0.703 0.703 0.000 Tm
0.898 0.898 0.000 Tm
0.500 0.500 0.000 Th
0.000 0.500 0.500 As
0.200 0.700 0.500 As
0.396 0.896 0.500 As
0.604 0.104 0.500 As
0.800 0.300 0.500 As
```

Calculated values
SG	No. 71
ΔE_f	-14.80	eV per formula unit
VASP energy	-6.3352	eV per atom



# 2
Crystalline Tl2HgF3 at its relaxed geometry. Source: Alexandria, functional PBE-GGA.

POSCAR file:
```
Tl2HgF3
1.0
-1.850 2.248 8.202
1.850 -2.248 8.202
1.850 2.248 -8.202
Tl Hg F
2 1 3
direct
0.165 0.165 0.000 Tl
0.835 0.835 0.000 Tl
0.500 0.500 0.000 Hg
0.000 0.500 0.500 F
0.319 0.319 0.000 F
0.681 0.681 0.000 F
```

Calculated values
SG	No. 71
VASP energy	-3.1823	eV per atom
formation energy (no corrections)	-815	kJ/mol of formula units



# 3
Crystalline NaAgAs2Se at its relaxed geometry. Source: Alexandria, functional PBE-GGA.

POSCAR file:
```
NaAgAs2Se
1.0
5.034 0.000 0.000
0.000 5.034 0.000
0.000 0.000 5.096
Na Ag As Se
1 1 2 1
direct
0.000 0.000 0.000 Na
0.500 0.500 0.500 Ag
0.000 0.500 0.000 As
0.500 0.000 0.000 As
0.000 0.000 0.500 Se
```

Calculated values
SG	No. 123
energy above the lowest structure with this stoichiometry	553	meV/atom
VASP energy	-2.4449	eV per atom
formation energy (no corrections)	456	kJ/mol of formula units



# 4
Crystalline Cs3H3Pt at its relaxed geometry. Source: Alexandria, functional PBE-GGA.

POSCAR file:
```
Cs3H3Pt
1.0
9.393 0.000 0.000
-4.696 8.134 0.000
0.000 0.000 5.872
Cs H Pt
6 6 2
direct
0.101 0.401 0.250 Cs
0.301 0.899 0.250 Cs
0.401 0.301 0.750 Cs
0.599 0.699 0.250 Cs
0.699 0.101 0.750 Cs
0.899 0.599 0.750 Cs
0.175 0.467 0.750 H
0.292 0.825 0.750 H
0.467 0.292 0.250 H
0.533 0.708 0.750 H
0.708 0.175 0.250 H
0.825 0.533 0.250 H
0.333 0.667 0.750 Pt
0.667 0.333 0.250 Pt
```

Calculated values
SG	No. 176
VASP energy	-2.8857	eV per atom



# 5
Crystalline Rb3TbSb2O9 at its relaxed geometry. Source: Alexandria, functional PBE-GGA.

POSCAR file:
```
Rb3TbSb2O9
1.0
5.972 0.000 0.000
-2.986 5.172 0.000
0.000 0.000 7.357
Rb Tb Sb O
3 1 2 9
direct
0.000 0.000 0.000 Rb
0.333 0.667 0.664 Rb
0.667 0.333 0.336 Rb
0.000 0.000 0.500 Tb
0.333 0.667 0.160 Sb
0.667 0.333 0.840 Sb
0.000 0.500 0.000 O
0.176 0.353 0.314 O
0.176 0.824 0.314 O
0.353 0.176 0.686 O
0.500 0.000 0.000 O
0.500 0.500 0.000 O
0.647 0.824 0.314 O
0.824 0.176 0.686 O
0.824 0.647 0.686 O
```

Calculated values
SG	No. 164
VASP energy	-5.6876	eV per atom
formation energy (no corrections)	-2404	kJ/mol of formula units



# 6
Crystalline Ac2Tb8Tm3 at its relaxed geometry. Source: Alexandria, functional PBE-GGA.

POSCAR file:
```
Ac2Tb8Tm3
1.0
6.589 -5.868 0.000
6.589 5.868 0.000
-2.521 0.000 5.685
Ac Tb Tm
2 8 3
direct
0.200 0.200 0.350 Ac
0.800 0.800 0.650 Ac
0.072 0.072 0.769 Tb
0.086 0.589 0.331 Tb
0.352 0.352 0.954 Tb
0.411 0.914 0.669 Tb
0.589 0.086 0.331 Tb
0.648 0.648 0.046 Tb
0.914 0.411 0.669 Tb
0.928 0.928 0.231 Tb
0.248 0.752 0.000 Tm
0.500 0.500 0.500 Tm
0.752 0.248 0.000 Tm
```

Calculated values
SG	No. 12
ΔE_f	2.76	eV per formula unit
VASP energy	-4.3008	eV per atom